Below is crystalline Li2LuBi at its relaxed geometry, with properties calculated at the PBE level.

Cell lengths 4.407, 4.407, 4.784 Å; angles 90.00, 90.00, 90.00 degrees
Space group P4/mmm (No. 123)
Symmetry-distinct sites (fractional):
Li: 0.000 0.500 0.000 x2
Lu: 0.000 0.000 0.500 x1
Bi: 0.500 0.500 0.500 x1

Results
- E_tot: -3.4553 eV per atom
- Energy of formation: -0.398 eV/atom
- Magnetization: 0.000 μB/atom
- Volume: 92.9 Å³/f.u.